Record 1
This record from the Alexandria database describes PaCuRe after structural relaxation. The functional is PBE-GGA.

a = 5.402 Å, b = 5.402 Å, c = 5.402 Å
α = 126.74°, β = 119.84°, γ = 84.50°
Positions (direct):
Pa 0.388 0.138 0.250
Pa 0.612 0.862 0.750
Cu 0.000 0.000 0.500
Cu 0.000 0.500 0.000
Re 0.000 0.500 0.500
Re 0.500 0.500 0.000

Values from the calculation:
- energy relative to the lowest polymorph listed for this composition (meV per atom) = 0.0
- space-group type = No. 74


Record 2
This record from the Alexandria database describes PaCuRe after structural relaxation. The functional is PBE-GGA.

a = 3.038 Å, b = 3.038 Å, c = 11.445 Å
α = 90.00°, β = 90.00°, γ = 90.00°
Positions (direct):
Pa 0.250 0.250 0.240
Pa 0.750 0.750 0.760
Cu 0.250 0.250 0.943
Cu 0.750 0.750 0.057
Re 0.250 0.250 0.565
Re 0.750 0.750 0.435

Values from the calculation:
- energy relative to the lowest polymorph listed for this composition (meV per atom) = 73.2
- space-group type = No. 129


Record 3
This record from the Alexandria database describes Pa2CuRe after structural relaxation. The functional is PBE-GGA.

a = 4.949 Å, b = 4.949 Å, c = 3.321 Å
α = 90.00°, β = 90.00°, γ = 90.00°
Positions (direct):
Pa 0.000 0.500 0.000
Pa 0.500 0.000 0.000
Cu 0.000 0.000 0.500
Re 0.500 0.500 0.500

Values from the calculation:
- energy relative to the lowest polymorph listed for this composition (meV per atom) = 0.0
- space-group type = No. 123


Record 4
This record from the Alexandria database describes Pa2CuRe3 after structural relaxation. The functional is PBE-GGA.

a = 5.359 Å, b = 5.359 Å, c = 5.395 Å
α = 120.01°, β = 120.01°, γ = 59.40°
Positions (direct):
Pa 0.124 0.124 0.371
Pa 0.876 0.876 0.629
Cu 0.500 0.500 0.500
Re 0.000 0.500 0.000
Re 0.500 0.000 0.000
Re 0.500 0.500 0.000

Values from the calculation:
- space-group type = No. 12


| no. | energy of formation from the pure elements (eV/atom) | total magnetization (μB per formula unit) |
| --- | --- | --- |
| 1 | -0.104 | 0.00 |
| 2 | -0.031 | 0.00 |
| 3 | 0.043 | 0.00 |
| 4 | -0.131 | 0.00 |